{"formula": "LaPmDy2Bi4", "functional": "PBE", "state": "relaxed", "lattice": [[4.568, 0.000, 0.000], [0.000, 7.886, -0.150], [0.000, 2.781, 7.399]], "species": ["Bi", "Bi", "Bi", "Bi", "Dy", "Dy", "Pm", "La"], "fractional_positions": [[0.500, 0.241, 0.750], [0.500, 0.759, 0.250], [0.000, 0.239, 0.256], [0.000, 0.761, 0.744], [0.500, 0.000, 0.500], [0.000, 0.000, 0.000], [0.000, 0.500, 0.500], [0.500, 0.500, 0.000]], "delta_e_f_ev_per_atom": -0.93, "space_group": "P2/m"}


{"formula": "Ho5Tl2Ir2Ru", "functional": "PBE", "state": "relaxed", "lattice": [[-1.975, 2.830, 0.665], [-6.562, -2.378, -9.366], [-7.091, -6.506, 6.620]], "species": ["Tl", "Tl", "Tl", "Tl", "Ir", "Ir", "Ir", "Ir", "Ho", "Ho", "Ho", "Ho", "Ho", "Ho", "Ho", "Ho", "Ho", "Ho", "Ru", "Ru"], "fractional_positions": [[0.000, 0.177, 0.323], [0.000, 0.323, 0.823], [0.000, 0.823, 0.677], [0.000, 0.677, 0.177], [0.000, 0.365, 0.135], [0.000, 0.865, 0.365], [0.000, 0.135, 0.635], [0.000, 0.635, 0.865], [0.500, 0.306, 0.567], [0.500, 0.000, 0.500], [0.500, 0.567, 0.694], [0.500, 0.433, 0.306], [0.500, 0.067, 0.806], [0.500, 0.806, 0.933], [0.500, 0.694, 0.433], [0.500, 0.933, 0.194], [0.500, 0.194, 0.067], [0.500, 0.500, 0.000], [0.000, 0.000, 0.000], [0.000, 0.500, 0.500]], "delta_e_f_ev_per_atom": -0.49, "space_group": "P4/mbm"}


{"formula": "AgPIF6", "functional": "PBE", "state": "relaxed", "lattice": [[-3.959, -5.988, 1.983], [1.069, -6.071, 0.773], [0.736, 0.648, 5.081]], "species": ["P", "F", "F", "F", "F", "F", "F", "I", "Ag"], "fractional_positions": [[0.338, 0.328, 0.502], [0.305, 0.617, 0.469], [0.154, 0.486, 0.776], [0.072, 0.521, 0.349], [0.601, 0.128, 0.651], [0.366, 0.034, 0.531], [0.517, 0.163, 0.224], [0.863, 0.261, 0.995], [0.783, 0.462, 0.502]], "raw_formation_energy_ev_per_atom": -1.91, "space_group": "P1"}


{"formula": "BaIn2I4", "functional": "PBE", "state": "relaxed", "lattice": [[6.877, 0.000, 0.000], [0.000, 6.877, 0.000], [-3.438, -3.438, 8.204]], "species": ["I", "I", "I", "I", "In", "In", "Ba"], "fractional_positions": [[0.000, 0.500, 0.000], [0.500, 0.000, 0.000], [0.206, 0.206, 0.412], [0.794, 0.794, 0.588], [0.609, 0.609, 0.219], [0.391, 0.391, 0.781], [0.000, 0.000, 0.000]], "raw_formation_energy_ev_per_atom": -0.90, "space_group": "I4/mmm"}


{"formula": "MgCrRh", "functional": "PBE", "state": "relaxed", "lattice": [[4.151, 0.000, 0.000], [2.075, 3.595, 0.000], [2.075, 1.198, 3.389]], "species": ["Cr", "Mg", "Rh"], "fractional_positions": [[0.000, 0.000, 0.000], [0.500, 0.500, 0.500], [0.250, 0.250, 0.250]], "delta_e_f_ev_per_atom": 0.36, "space_group": "F-43m"}


{"formula": "Hf3TcRh", "functional": "PBE", "state": "relaxed", "lattice": [[-1.411, 3.520, -3.096], [-4.578, -0.340, 1.701], [1.008, 3.386, 3.390]], "species": ["Rh", "Hf", "Hf", "Hf", "Tc"], "fractional_positions": [[0.500, 0.500, 0.500], [0.000, 0.000, 0.500], [0.500, 0.000, 0.000], [0.000, 0.500, 0.000], [0.000, 0.000, 0.000]], "delta_e_f_ev_per_atom": 0.61, "space_group": "Pm-3m"}


{"formula": "LaTb2Pm3Se6", "functional": "PBE", "state": "relaxed", "lattice": [[-5.103, 1.462, -4.942], [5.584, -4.311, -1.683], [-3.733, -4.481, 4.302]], "species": ["Tb", "Tb", "Se", "Se", "Se", "Se", "Se", "Se", "Pm", "Pm", "Pm", "La"], "fractional_positions": [[0.333, 0.667, 0.000], [0.667, 0.333, 0.000], [0.574, 0.917, 0.752], [0.737, 0.737, 0.242], [0.083, 0.426, 0.248], [0.263, 0.263, 0.758], [0.426, 0.083, 0.248], [0.917, 0.574, 0.752], [0.162, 0.838, 0.500], [0.500, 0.500, 0.500], [0.838, 0.162, 0.500], [0.000, 0.000, 0.000]], "raw_formation_energy_ev_per_atom": -1.84, "space_group": "C2/m"}


{"formula": "Ba2CdSb", "functional": "PBE", "state": "relaxed", "lattice": [[9.313, 0.000, 0.000], [0.000, 9.313, 0.000], [4.656, 4.656, 4.215]], "species": ["Ba", "Ba", "Ba", "Ba", "Sb", "Sb", "Cd", "Cd"], "fractional_positions": [[0.375, 0.359, 0.750], [0.641, 0.125, 0.250], [0.875, 0.891, 0.750], [0.109, 0.625, 0.250], [0.750, 0.250, 0.500], [0.000, 0.000, 0.000], [0.500, 0.500, 0.000], [0.250, 0.750, 0.500]], "raw_formation_energy_ev_per_atom": -0.42, "space_group": "I-42d"}


Number 1: DOS at the Fermi energy 1.2 states/eV/f.u., volume 268.45 Å³/f.u.. Number 2: DOS at the Fermi energy 5.7 states/eV/f.u., volume 239.77 Å³/f.u.. Number 3: DOS at the Fermi energy 2.6 states/eV/f.u., volume 163.49 Å³/f.u.. Number 4: DOS at the Fermi energy 0.0 states/eV/f.u., volume 387.98 Å³/f.u.. Number 5: DOS at the Fermi energy 4.2 states/eV/f.u., volume 50.57 Å³/f.u.. Number 6: DOS at the Fermi energy 6.6 states/eV/f.u., volume 117.35 Å³/f.u.. Number 7: DOS at the Fermi energy 5.9 states/eV/f.u., volume 310.42 Å³/f.u.. Number 8: DOS at the Fermi energy 1.3 states/eV/f.u., volume 182.77 Å³/f.u..